Compound: InH2S
Source: the Alexandria database
Functional: PBE
Structure: relaxed

As for the theoretical density: 5.2 g/cm³. The calculation puts the calculated volume at 47.1 Å³/f.u. The total DFT energy (no corrections) comes out at -0.1967 Ry per atom.

Cell: 4.054 4.054 4.054 Å, 60.00 60.00 60.00°
Element x y z (fractional)
H1 0.750 0.750 0.750
H2 0.250 0.250 0.250
S1 0.000 0.000 0.000
In1 0.500 0.500 0.500

Compound: AgBr
Source: the Alexandria database
Functional: PBE
Structure: relaxed

As for the theoretical density: 6.6 g/cm³. The calculation puts the calculated volume at 47.0 Å³/f.u. The total DFT energy (no corrections) comes out at -0.1532 Ry per atom.

Cell: 5.104 5.104 5.104 Å, 60.00 60.00 60.00°
Element x y z (fractional)
Ag1 0.750 0.750 0.750
Ag2 0.000 0.000 0.000
Br1 0.250 0.250 0.250
Br2 0.500 0.500 0.500

Compound: NaGe4Pt6
Source: the Alexandria database
Functional: PBE
Structure: relaxed

Its formation energy is -0.48 eV per atom. As for the theoretical density: 13.3 g/cm³. The calculation puts the calculated volume at 185.0 Å³/f.u.

Cell: 3.850 7.448 7.448 Å, 120.00 90.00 90.00°
Element x y z (fractional)
Pt1 0.500 0.605 0.803
Pt2 0.500 0.197 0.395
Pt3 0.000 0.927 0.464
Pt4 0.000 0.536 0.464
Pt5 0.000 0.536 0.073
Pt6 0.500 0.197 0.803
Na1 0.000 0.000 0.000
Ge1 0.000 0.333 0.667
Ge2 0.500 0.815 0.185
Ge3 0.500 0.815 0.630
Ge4 0.500 0.370 0.185

Compound: Ac2Al4Zn3Ge
Source: the Alexandria database
Functional: PBE
Structure: relaxed

Its formation energy is -0.39 eV per atom. As for the theoretical density: 6.4 g/cm³. The calculation puts the calculated volume at 215.2 Å³/f.u.

Cell: 4.491 4.491 10.672 Å, 90.00 90.00 90.00°
Element x y z (fractional)
Ac1 0.500 0.000 0.251
Ac2 0.000 0.500 0.749
Zn1 0.500 0.000 0.870
Zn2 0.000 0.500 0.130
Zn3 0.000 0.000 0.500
Al1 0.500 0.000 0.630
Al2 0.500 0.500 0.000
Al3 0.000 0.000 0.000
Al4 0.000 0.500 0.370
Ge1 0.500 0.500 0.500

Compound: YMg2
Source: the Alexandria database
Functional: PBE
Structure: relaxed

Its formation energy is 0.75 eV per atom. As for the theoretical density: 2.3 g/cm³. The calculation puts the calculated volume at 101.4 Å³/f.u.

Cell: 7.401 7.401 7.401 Å, 90.00 90.00 90.00°
Element x y z (fractional)
Y1 0.000 0.000 0.000
Y2 0.500 0.000 0.500
Y3 0.000 0.500 0.500
Y4 0.500 0.500 0.000
Mg1 0.115 0.615 0.885
Mg2 0.385 0.115 0.885
Mg3 0.885 0.385 0.115
Mg4 0.615 0.885 0.115
Mg5 0.385 0.385 0.385
Mg6 0.885 0.115 0.615
Mg7 0.615 0.615 0.615
Mg8 0.115 0.885 0.385

Compound: InSBrCl2
Source: the Alexandria database
Functional: PBE
Structure: relaxed

As for the theoretical density: 3.4 g/cm³. The calculation puts the calculated volume at 145.0 Å³/f.u. The total DFT energy (no corrections) comes out at -0.1683 Ry per atom.

Cell: 5.390 5.390 4.991 Å, 90.00 90.00 90.00°
Element x y z (fractional)
Cl1 0.000 0.500 0.000
Cl2 0.500 0.000 0.000
In1 0.500 0.500 0.500
Br1 0.000 0.000 0.000
S1 0.000 0.000 0.500